No. 1
Density functional theory data (PBE) for a geometry-optimized RbNdZnS3 structure.

```
RbNdZnS3
1.0
9.0647 -2.1161 0.0000
9.0647 2.1161 0.0000
-1.7912 0.0000 8.4400
Rb Nd Zn S
2 2 2 6
Cartesian
2.4844 0.0000 0.5872 Rb
13.8538 0.0000 7.8528 Rb
1.9670 0.0000 4.7722 Nd
14.3712 0.0000 3.6677 Nd
8.1035 0.0000 2.1407 Zn
8.2347 0.0000 6.2993 Zn
-0.8956 0.0000 4.2200 S
4.7097 0.0000 5.3996 S
5.8338 0.0000 1.8375 S
9.0647 0.0000 0.0000 S
10.5044 0.0000 6.6025 S
11.6285 0.0000 3.0404 S
```

Results
total energy	-54.114	eV for the cell shown
magnetization	0.00	Bohr magnetons per cell

No. 2
Density functional theory data (PBE) for a geometry-optimized Rb2NdSnSb2 structure.

```
Rb2NdSnSb2
1.0
4.6104 0.0000 0.0000
-2.3052 3.9927 0.0000
0.0000 0.0000 14.6750
Rb Nd Sn Sb
2 1 1 2
Cartesian
0.0000 0.0000 0.0000 Rb
0.0000 2.6618 7.9295 Rb
2.3052 1.3309 4.0132 Nd
2.3052 1.3309 11.8184 Sn
0.0000 0.0000 10.4436 Sb
0.0000 2.6618 2.5671 Sb
```

Results
total energy	-20.948	eV for the cell shown
magnetization	0.93	Bohr magnetons per cell

No. 3
Density functional theory data (PBE) for a geometry-optimized RbNdSbTe3 structure.

```
RbNdSbTe3
1.0
2.3329 -8.9713 0.0000
2.3329 8.9713 0.0000
0.0000 0.0000 11.2750
Rb Nd Sb Te
2 2 2 6
Cartesian
2.3329 4.7568 8.4562 Rb
2.3329 -4.7568 2.8187 Rb
0.0000 0.0000 0.0000 Nd
0.0000 0.0000 5.6375 Nd
2.3329 0.4983 2.8187 Sb
2.3329 -0.4983 8.4562 Sb
2.3329 7.1575 2.8187 Te
2.3329 2.2098 0.4390 Te
2.3329 2.2098 5.1985 Te
2.3329 -2.2098 6.0764 Te
2.3329 -2.2098 10.8360 Te
2.3329 -7.1575 8.4562 Te
```

Results
total energy	-47.574	eV for the cell shown
magnetization	0.01	Bohr magnetons per cell

No. 4
Density functional theory data (PBE) for a geometry-optimized RbNdSe4 structure.

```
RbNdSe4
1.0
6.3979 0.0000 0.0000
0.0000 6.3979 0.0000
0.0000 0.0000 8.7613
Rb Nd Se
2 2 8
Cartesian
1.5995 1.5995 0.0000 Rb
4.7984 4.7984 0.0000 Rb
1.5995 1.5995 4.3806 Nd
4.7984 4.7984 4.3806 Nd
0.7408 3.9397 2.5875 Se
0.7408 5.6572 6.1737 Se
2.4582 3.9397 6.1737 Se
2.4582 5.6572 2.5875 Se
3.9397 0.7408 6.1737 Se
3.9397 2.4582 2.5875 Se
5.6572 0.7408 2.5875 Se
5.6572 2.4582 6.1737 Se
```

Results
total energy	-53.393	eV for the cell shown
magnetization	0.00	Bohr magnetons per cell

No. 5
Density functional theory data (PBE) for a geometry-optimized RbNdSnSe3 structure.

```
RbNdSnSe3
1.0
2.1296 -8.3223 0.0000
2.1296 8.3223 0.0000
0.0000 0.0000 12.1824
Rb Nd Sn Se
2 2 2 6
Cartesian
2.1296 5.1760 9.1368 Rb
2.1296 -5.1760 3.0456 Rb
2.1296 0.0000 0.0000 Nd
2.1296 0.0000 6.0912 Nd
2.1296 6.5119 3.0456 Sn
2.1296 -6.5119 9.1368 Sn
2.1296 6.3040 0.1541 Se
2.1296 6.3040 5.9371 Se
2.1296 0.0338 3.0456 Se
2.1296 -0.0338 9.1368 Se
2.1296 -6.3040 6.2453 Se
2.1296 -6.3040 12.0283 Se
```

Results
total energy	-54.398	eV for the cell shown
relative energy among the computed polymorphs	117.9	meV per atom
magnetization	0.01	Bohr magnetons per cell

No. 6
Density functional theory data (PBE) for a geometry-optimized RbNdSnSe3 structure.

```
RbNdSnSe3
1.0
16.1096 0.0000 0.0000
0.0000 4.2817 0.0000
0.0000 0.0000 12.4080
Rb Nd Sn Se
4 4 4 12
Cartesian
3.7552 1.0704 1.1009 Rb
4.2996 3.2113 7.3049 Rb
11.8100 1.0704 5.1031 Rb
12.3544 3.2113 11.3071 Rb
0.0367 3.2113 8.0395 Nd
8.0181 1.0704 1.8355 Nd
8.0914 3.2113 10.5725 Nd
16.0729 1.0704 4.3685 Nd
0.6477 1.0704 11.3120 Sn
7.4071 3.2113 5.1080 Sn
8.7024 1.0704 7.3001 Sn
15.4619 3.2113 1.0960 Sn
1.4099 3.2113 2.8085 Se
1.6225 1.0704 6.7722 Se
2.1056 3.2113 10.2580 Se
5.9492 1.0704 4.0540 Se
6.4322 3.2113 0.5682 Se
6.6449 1.0704 9.0125 Se
9.4647 3.2113 3.3955 Se
9.6773 1.0704 11.8399 Se
10.1603 3.2113 8.3540 Se
14.0040 1.0704 2.1500 Se
14.4870 3.2113 5.6359 Se
14.6997 1.0704 9.5995 Se
```

Results
total energy	-111.624	eV for the cell shown
relative energy among the computed polymorphs	0.0	meV per atom
magnetization	0.00	Bohr magnetons per cell

No. 7
Density functional theory data (PBE) for a geometry-optimized RbNdTmSe3 structure.

```
RbNdTmSe3
1.0
2.2782 -7.8454 0.0000
2.2782 7.8454 0.0000
0.0000 0.0000 11.5186
Rb Nd Tm Se
2 2 2 6
Cartesian
2.2782 4.0770 8.6389 Rb
2.2782 -4.0770 2.8796 Rb
2.2782 0.0000 0.0000 Nd
2.2782 0.0000 5.7593 Nd
2.2782 7.3401 2.8796 Tm
2.2782 -7.3401 8.6389 Tm
2.2782 5.8972 0.6372 Se
2.2782 5.8972 5.1221 Se
2.2782 0.9787 2.8796 Se
2.2782 -0.9787 8.6389 Se
2.2782 -5.8972 6.3965 Se
2.2782 -5.8972 10.8813 Se
```

Results
total energy	-60.039	eV for the cell shown
magnetization	0.04	Bohr magnetons per cell

No. 8
Density functional theory data (PBE) for a geometry-optimized RbNdZnSe3 structure.

```
RbNdZnSe3
1.0
9.4773 -2.1935 0.0000
9.4773 2.1935 0.0000
-1.8205 0.0000 8.7639
Rb Nd Zn Se
2 2 2 6
Cartesian
2.5551 0.0000 0.5895 Rb
14.5791 0.0000 8.1745 Rb
2.1167 0.0000 4.9566 Nd
15.0175 0.0000 3.8073 Nd
8.4370 0.0000 2.2745 Zn
8.6972 0.0000 6.4895 Zn
-0.9102 0.0000 4.3820 Se
4.9636 0.0000 5.6442 Se
6.0532 0.0000 1.8738 Se
9.4773 0.0000 0.0000 Se
11.0810 0.0000 6.8901 Se
12.1706 0.0000 3.1198 Se
```

Results
total energy	-49.309	eV for the cell shown
magnetization	0.00	Bohr magnetons per cell

No. 9
Density functional theory data (PBE) for a geometry-optimized RbNdZnSe3 structure.

```
RbNdZnSe3
1.0
8.9879 0.0000 0.0000
0.0000 4.2528 0.0000
-3.4897 0.0000 10.0447
Rb Nd Zn Se
2 2 2 6
Cartesian
1.4807 1.0632 2.1942 Rb
4.0176 3.1896 7.8506 Rb
-0.5465 3.1896 6.3840 Nd
6.0447 1.0632 3.6607 Nd
0.6821 1.0632 8.9543 Zn
4.8162 3.1896 1.0904 Zn
-0.8923 3.1896 3.5047 Se
-0.6559 3.1896 9.5257 Se
1.5007 1.0632 6.6501 Se
3.9975 3.1896 3.3946 Se
6.1541 1.0632 0.5190 Se
6.3905 1.0632 6.5400 Se
```

Results
total energy	-51.333	eV for the cell shown
magnetization	0.00	Bohr magnetons per cell

No. 10
Density functional theory data (PBE) for a geometry-optimized RbNdSmTe3 structure.

```
RbNdSmTe3
1.0
2.4740 -8.4072 0.0000
2.4740 8.4072 0.0000
0.0000 0.0000 11.9740
Rb Nd Sm Te
2 2 2 6
Cartesian
2.4740 4.3098 8.9805 Rb
2.4740 -4.3098 2.9935 Rb
2.4740 7.9006 2.9935 Nd
2.4740 -7.9006 8.9805 Nd
2.4740 0.0000 0.0000 Sm
2.4740 0.0000 5.9870 Sm
2.4740 6.3089 0.4328 Te
2.4740 6.3089 5.5542 Te
2.4740 1.2274 2.9935 Te
2.4740 -1.2274 8.9805 Te
2.4740 -6.3089 6.4198 Te
2.4740 -6.3089 11.5412 Te
```

Results
total energy	-54.357	eV for the cell shown
magnetization	0.50	Bohr magnetons per cell

No. 11
Density functional theory data (PBE) for a geometry-optimized RbNdSnTe3 structure.

```
RbNdSnTe3
1.0
17.1462 0.0000 0.0000
0.0000 4.5125 0.0000
0.0000 0.0000 12.8314
Rb Nd Sn Te
4 4 4 12
Cartesian
3.9150 1.1281 0.9510 Rb
4.6581 3.3844 7.3667 Rb
12.4880 1.1281 5.4647 Rb
13.2312 3.3844 11.8804 Rb
0.1324 3.3844 8.3521 Nd
8.4407 1.1281 1.9365 Nd
8.7055 3.3844 10.8949 Nd
17.0138 1.1281 4.4792 Nd
0.6197 1.1281 11.7958 Sn
7.9534 3.3844 5.3801 Sn
9.1928 1.1281 7.4513 Sn
16.5265 3.3844 1.0356 Sn
1.5602 3.3844 2.9182 Te
1.8232 1.1281 6.9411 Te
2.3163 3.3844 10.7332 Te
6.2568 1.1281 4.3175 Te
6.7499 3.3844 0.5254 Te
7.0129 1.1281 9.3339 Te
10.1333 3.3844 3.4975 Te
10.3963 1.1281 12.3059 Te
10.8893 3.3844 8.5138 Te
14.8299 1.1281 2.0981 Te
15.3229 3.3844 5.8902 Te
15.5860 1.1281 9.9132 Te
```

Results
total energy	-100.911	eV for the cell shown
relative energy among the computed polymorphs	0.0	meV per atom
magnetization	0.00	Bohr magnetons per cell

No. 12
Density functional theory data (PBE) for a geometry-optimized RbNdSnTe3 structure.

```
RbNdSnTe3
1.0
2.3932 -8.1613 0.0000
2.3932 8.1613 0.0000
0.0000 0.0000 12.6340
Rb Nd Sn Te
2 2 2 6
Cartesian
2.3932 4.1683 9.4755 Rb
2.3932 -4.1683 3.1585 Rb
2.3932 0.0000 0.0000 Nd
2.3932 0.0000 6.3170 Nd
2.3932 7.3845 3.1585 Sn
2.3932 -7.3845 9.4755 Sn
2.3932 6.0251 0.4215 Te
2.3932 6.0251 5.8955 Te
2.3932 1.0441 3.1585 Te
2.3932 -1.0441 9.4755 Te
2.3932 -6.0251 6.7384 Te
2.3932 -6.0251 12.2125 Te
```

Results
total energy	-48.892	eV for the cell shown
relative energy among the computed polymorphs	130.3	meV per atom
magnetization	0.00	Bohr magnetons per cell